A relaxed structure of KTi4Te8, computed with GGA-PBE.

Summary:
**V**: 1674.6 Å³ per cell
**Distance to the lowest polymorph of the same formula**: 0.167 eV per atom
**Energy relative to the elements, uncorrected**: -0.55 eV/atom

The structure in CIF format:
```
data_KTi4Te8
_chemical_formula_sum 'K4 Ti16 Te32'
_cell_length_a 11.875
_cell_length_b 11.875
_cell_length_c 11.875
_cell_angle_alpha 90.00
_cell_angle_beta 90.00
_cell_angle_gamma 90.00
_space_group_name_H-M_alt 'F -4 3 m'
_space_group_IT_number 216
_space_group_name_Hall 'F -4 2 3'
loop_
_atom_site_label
_atom_site_type_symbol
_atom_site_fract_x
_atom_site_fract_y
_atom_site_fract_z
K1 K 0.000 0.000 0.000
Ti1 Ti 0.116 0.116 0.616
Te1 Te 0.120 0.120 0.380
Te2 Te 0.147 0.147 0.853
```

***

A relaxed structure of DyTlCo2Cl8, computed with GGA-PBE.

Summary:
**V**: 1028.3 Å³ per cell
**Energy relative to the elements, uncorrected**: -1.17 eV/atom

The structure in CIF format:
```
data_DyTlCo2Cl8
_chemical_formula_sum 'Dy3 Tl3 Co6 Cl24'
_cell_length_a 6.4366
_cell_length_b 6.4366
_cell_length_c 28.6608
_cell_angle_alpha 90.00
_cell_angle_beta 90.00
_cell_angle_gamma 120.00
_space_group_name_H-M_alt 'R -3'
_space_group_IT_number 148
_space_group_name_Hall '-R 3'
loop_
_atom_site_label
_atom_site_type_symbol
_atom_site_fract_x
_atom_site_fract_y
_atom_site_fract_z
Dy1 Dy 0.0000 0.0000 0.0000
Tl1 Tl 0.0000 0.0000 0.5000
Co1 Co 0.0000 0.0000 0.2527
Cl1 Cl 0.0000 0.0000 0.1764
Cl2 Cl 0.0011 0.3313 0.6119
```